Record 1
Computed, not measured: a relaxed structure of ScIrBr at the PBE level of DFT.

CIF file:
```
data_ScIrBr
_chemical_formula_sum 'Sc4 Ir4 Br4'
_space_group_name_H-M_alt 'F -4 3 m'
_space_group_IT_number 216
_space_group_name_Hall 'F -4 2 3'
_cell_length_a 6.401
_cell_length_b 6.401
_cell_length_c 6.401
_cell_angle_alpha 90.00
_cell_angle_beta 90.00
_cell_angle_gamma 90.00
loop_
_atom_site_label
_atom_site_type_symbol
_atom_site_fract_x
_atom_site_fract_y
_atom_site_fract_z
_atom_site_occupancy
Sc1 Sc 0.000 0.000 0.000 1
Ir1 Ir 0.250 0.250 0.250 1
Br1 Br 0.250 0.250 0.750 1
```

Calculated values
Formation energy without anion corrections = -34 meV/atom
Crystal system = cubic



Record 2
Computed, not measured: a relaxed structure of TeOsPbN2 at the PBE level of DFT.

CIF file:
```
data_TeOsPbN2
_chemical_formula_sum 'Te1 Os1 Pb1 N2'
_space_group_name_H-M_alt 'P 4/m m m'
_space_group_IT_number 123
_space_group_name_Hall '-P 4 2'
_cell_length_a 4.273
_cell_length_b 4.273
_cell_length_c 6.032
_cell_angle_alpha 90.00
_cell_angle_beta 90.00
_cell_angle_gamma 90.00
loop_
_atom_site_label
_atom_site_type_symbol
_atom_site_fract_x
_atom_site_fract_y
_atom_site_fract_z
_atom_site_occupancy
Te1 Te 0.000 0.000 0.000 1
Os1 Os 0.500 0.500 0.000 1
Pb1 Pb 0.000 0.000 0.500 1
N1 N 0.000 0.500 0.500 1
```

Calculated values
Formation energy without anion corrections = 2466 meV/atom
Crystal system = tetragonal



Record 3
Computed, not measured: a relaxed structure of Ru2RhW at the PBE level of DFT.

CIF file:
```
data_Ru2RhW
_chemical_formula_sum 'Ru4 Rh2 W2'
_space_group_name_H-M_alt 'I 4/m m m'
_space_group_IT_number 139
_space_group_name_Hall '-I 4 2'
_cell_length_a 3.905
_cell_length_b 3.905
_cell_length_c 7.603
_cell_angle_alpha 90.00
_cell_angle_beta 90.00
_cell_angle_gamma 90.00
loop_
_atom_site_label
_atom_site_type_symbol
_atom_site_fract_x
_atom_site_fract_y
_atom_site_fract_z
_atom_site_occupancy
Ru1 Ru 0.000 0.500 0.250 1
Rh1 Rh 0.000 0.000 0.000 1
W1 W 0.000 0.000 0.500 1
```

Calculated values
Crystal system = tetragonal
Energy of formation from the pure elements = -0.0413 eV/atom



Record 4
Computed, not measured: a relaxed structure of Ga3BSb at the PBE level of DFT.

CIF file:
```
data_Ga3BSb
_chemical_formula_sum 'Ga3 B1 Sb1'
_space_group_name_H-M_alt 'P m -3 m'
_space_group_IT_number 221
_space_group_name_Hall '-P 4 2 3'
_cell_length_a 4.491
_cell_length_b 4.491
_cell_length_c 4.491
_cell_angle_alpha 90.00
_cell_angle_beta 90.00
_cell_angle_gamma 90.00
loop_
_atom_site_label
_atom_site_type_symbol
_atom_site_fract_x
_atom_site_fract_y
_atom_site_fract_z
_atom_site_occupancy
Ga1 Ga 0.000 0.000 0.500 1
B1 B 0.000 0.000 0.000 1
Sb1 Sb 0.500 0.500 0.500 1
```

Calculated values
Formation energy without anion corrections = 310 meV/atom
Crystal system = cubic



Record 5
Computed, not measured: a relaxed structure of LiCeTmS4 at the PBE level of DFT.

CIF file:
```
data_LiCeTmS4
_chemical_formula_sum 'Li4 Ce4 Tm4 S16'
_space_group_name_H-M_alt 'I m m a'
_space_group_IT_number 74
_space_group_name_Hall '-I 2b 2'
_cell_length_a 7.766
_cell_length_b 8.159
_cell_length_c 11.165
_cell_angle_alpha 90.00
_cell_angle_beta 90.00
_cell_angle_gamma 90.00
loop_
_atom_site_label
_atom_site_type_symbol
_atom_site_fract_x
_atom_site_fract_y
_atom_site_fract_z
_atom_site_occupancy
Li1 Li 0.000 0.250 0.134 1
Ce1 Ce 0.000 0.000 0.500 1
Tm1 Tm 0.250 0.250 0.750 1
S1 S 0.000 0.019 0.743 1
S2 S 0.236 0.250 0.507 1
```

Calculated values
Formation energy without anion corrections = -1787 meV/atom
Crystal system = orthorhombic



Record 6
Computed, not measured: a relaxed structure of Sr3U at the PBE level of DFT.

CIF file:
```
data_Sr3U
_chemical_formula_sum 'Sr12 U4'
_space_group_name_H-M_alt 'F m -3 m'
_space_group_IT_number 225
_space_group_name_Hall '-F 4 2 3'
_cell_length_a 9.000
_cell_length_b 9.000
_cell_length_c 9.000
_cell_angle_alpha 90.00
_cell_angle_beta 90.00
_cell_angle_gamma 90.00
loop_
_atom_site_label
_atom_site_type_symbol
_atom_site_fract_x
_atom_site_fract_y
_atom_site_fract_z
_atom_site_occupancy
Sr1 Sr 0.000 0.000 0.000 1
Sr2 Sr 0.250 0.250 0.250 1
U1 U 0.000 0.000 0.500 1
```

Calculated values
Crystal system = cubic
Energy of formation from the pure elements = 0.7762 eV/atom



| no. | density (g/cm3) |
| --- | --- |
| 1 | 8.03 |
| 2 | 8.34 |
| 3 | 14.00 |
| 4 | 6.26 |
| 5 | 4.17 |
| 6 | 4.56 |